# Si2AsRh8 | the Alexandria database | GGA-PBE | relaxed
data_Si2AsRh8
_chemical_formula_sum 'Si4 As2 Rh16'
_cell_length_a 3.976
_cell_length_b 6.753
_cell_length_c 11.600
_cell_angle_alpha 90.00
_cell_angle_beta 90.00
_cell_angle_gamma 90.00
_symmetry_space_group_name_H-M 'I m m m'
_symmetry_Int_Tables_number 71
_symmetry_space_group_name_Hall '-I 2 2'
loop_
_atom_site_label
_atom_site_fract_x
_atom_site_fract_y
_atom_site_fract_z
Si1 0.000 0.000 0.192
As1 0.000 0.000 0.500
Rh1 0.000 0.185 0.000
Rh2 0.000 0.281 0.337
Rh3 0.000 0.500 0.140
# Fermi-level density of states (states/eV/f.u.): 11.99
# Formation energy from raw total energies (eV/atom): -0.352
# Crystal system: orthorhombic